# GdDyMg

Crystalline GdDyMg at its relaxed geometry (PBE-GGA, the Open Quantum Materials Database).

Summary:
* energy above the most stable polymorph in this dataset: 0.0049 eV per atom

Cell lengths 3.677, 17.285, 5.490 Å; angles 90.00, 90.00, 90.00 degrees
Space group Cmcm (No. 63)
Symmetry-distinct sites (fractional):
Gd 0.000 0.226 0.250 (multiplicity 4)
Dy 0.000 0.093 0.750 (multiplicity 4)
Mg 0.000 0.435 0.750 (multiplicity 4)